# 1
The following is a PBE calculation of a relaxed structure of RbPtO3, from the Open Quantum Materials Database.

Properties
mass density = 5.27 g/cm³

abc: 6.7439 6.7439 15.7582
angles: 90.00 90.00 120.00
Space group R-3c (No. 167, hexagonal axes)
Asymmetric unit:
Rb1 0.0000 0.0000 0.0000 [6 per cell]
Pt1 0.0000 0.0000 0.2500 [6 per cell]
O1 0.0000 0.2663 0.2500 [18 per cell]

***

# 2
The following is a PBE calculation of a relaxed structure of Y2TmTl2Zn3Cd, from the Open Quantum Materials Database.

Properties
mass density = 8.64 g/cm³

abc: 4.5227 12.4640 7.2542
angles: 90.00 90.00 90.00
Space group Amm2 (No. 38)
Asymmetric unit:
Y1 0.0000 0.2151 0.0000 [4 per cell]
Tm1 0.0000 0.0000 0.6465 [2 per cell]
Tl1 0.5000 0.1651 0.7151 [4 per cell]
Zn1 0.5000 0.0000 0.9872 [2 per cell]
Zn2 0.5000 0.1156 0.3316 [4 per cell]
Cd1 0.0000 0.0000 0.2210 [2 per cell]

***

Across the entries above, uncorrected energy takes the values -4.93; -3.29 eV/atom, respectively.